# 1
Compound: CsRbTl2
Source: Alexandria via LeMat-Bulk
Functional: PBE
Structure: optimized geometry

ΔH_f (0 K), eV/atom: 0.1528
DFT total energy, eV per atom: -1.4856
Energy relative to the lowest polymorph listed for this composition, meV/atom: 215.9
Space-group type: I-42d, No. 122

Unit cell a=10.516 b=10.516 c=7.372 alpha=90.00 beta=90.00 gamma=90.00
Sites, in units of the cell vectors:
Cs (0.000, 0.000, 0.000)
Cs (0.000, 0.500, 0.250)
Cs (0.500, 0.000, 0.750)
Cs (0.500, 0.500, 0.500)
Rb (0.000, 0.000, 0.500)
Rb (0.000, 0.500, 0.750)
Rb (0.500, 0.000, 0.250)
Rb (0.500, 0.500, 0.000)
Tl (0.242, 0.250, 0.625)
Tl (0.250, 0.742, 0.875)
Tl (0.250, 0.758, 0.375)
Tl (0.258, 0.250, 0.125)
Tl (0.742, 0.750, 0.125)
Tl (0.750, 0.242, 0.375)
Tl (0.750, 0.258, 0.875)
Tl (0.758, 0.750, 0.625)

***

# 2
Compound: MgCd8Sn2
Source: Alexandria via LeMat-Bulk
Functional: PBE
Structure: optimized geometry

ΔH_f (0 K), eV/atom: 0.0640
DFT total energy, eV per atom: -1.4743
Energy relative to the lowest polymorph listed for this composition, meV/atom: 0.0
Space-group type: C2/m, No. 12

Unit cell a=7.919 b=7.919 c=5.222 alpha=97.61 beta=97.61 gamma=61.41
Sites, in units of the cell vectors:
Mg (0.000, 0.000, 0.000)
Cd (0.240, 0.240, 0.100)
Cd (0.248, 0.625, 0.213)
Cd (0.363, 0.363, 0.666)
Cd (0.375, 0.752, 0.787)
Cd (0.625, 0.248, 0.213)
Cd (0.637, 0.637, 0.334)
Cd (0.752, 0.375, 0.787)
Cd (0.760, 0.760, 0.900)
Sn (0.132, 0.132, 0.552)
Sn (0.868, 0.868, 0.448)

***

# 3
Compound: AgSn2Se
Source: Alexandria via LeMat-Bulk
Functional: PBE
Structure: optimized geometry

Formation energy from raw total energies, kcal/mol of atoms: 0.911
DFT total energy, eV per atom: -3.5459
Space-group type: I-42d, No. 122

Unit cell a=6.585 b=6.585 c=12.061 alpha=90.00 beta=90.00 gamma=90.00
Sites, in units of the cell vectors:
Ag (0.000, 0.000, 0.000)
Ag (0.000, 0.500, 0.250)
Ag (0.500, 0.000, 0.750)
Ag (0.500, 0.500, 0.500)
Sn (0.239, 0.250, 0.125)
Sn (0.250, 0.739, 0.375)
Sn (0.250, 0.761, 0.875)
Sn (0.261, 0.250, 0.625)
Sn (0.739, 0.750, 0.625)
Sn (0.750, 0.239, 0.875)
Sn (0.750, 0.261, 0.375)
Sn (0.761, 0.750, 0.125)
Se (0.000, 0.000, 0.500)
Se (0.000, 0.500, 0.750)
Se (0.500, 0.000, 0.250)
Se (0.500, 0.500, 0.000)

***

# 4
Compound: HoPaIn2O8
Source: Alexandria via LeMat-Bulk
Functional: PBE
Structure: optimized geometry

Formation energy from raw total energies, kcal/mol of atoms: -49.240
DFT total energy, eV per atom: -7.0699
Space-group type: I-4m2, No. 119

Unit cell a=6.180 b=6.180 c=6.180 alpha=110.85 beta=110.85 gamma=106.74
Sites, in units of the cell vectors:
Ho (0.000, 0.000, 0.000)
Pa (0.750, 0.250, 0.500)
In (0.250, 0.750, 0.500)
In (0.500, 0.500, 0.000)
O (0.033, 0.350, 0.317)
O (0.033, 0.716, 0.683)
O (0.097, 0.291, 0.806)
O (0.284, 0.967, 0.317)
O (0.484, 0.291, 0.194)
O (0.650, 0.967, 0.683)
O (0.709, 0.516, 0.806)
O (0.709, 0.903, 0.194)

***

# 5
Compound: CeCuN
Source: Alexandria via LeMat-Bulk
Functional: PBE
Structure: optimized geometry

Formation energy from raw total energies, kcal/mol of atoms: -20.772
DFT total energy, eV per atom: -7.0192
Space-group type: P4/nmm, No. 129

Unit cell a=3.486 b=3.486 c=7.473 alpha=90.00 beta=90.00 gamma=90.00
Sites, in units of the cell vectors:
Ce (0.250, 0.250, 0.174)
Ce (0.750, 0.750, 0.826)
Cu (0.250, 0.250, 0.570)
Cu (0.750, 0.750, 0.430)
N (0.250, 0.250, 0.854)
N (0.750, 0.750, 0.146)

***

# 6
Compound: IrSCl2
Source: Alexandria via LeMat-Bulk
Functional: PBE
Structure: optimized geometry

Formation energy from raw total energies, kcal/mol of atoms: 30.047
DFT total energy, eV per atom: -2.8675
Energy relative to the lowest polymorph listed for this composition, meV/atom: 1105.6
Space-group type: Fm-3m, No. 225

Unit cell a=6.449 b=6.449 c=6.449 alpha=90.00 beta=90.00 gamma=90.00
Sites, in units of the cell vectors:
Ir (0.000, 0.000, 0.000)
Ir (0.000, 0.500, 0.500)
Ir (0.500, 0.000, 0.500)
Ir (0.500, 0.500, 0.000)
S (0.000, 0.000, 0.500)
S (0.000, 0.500, 0.000)
S (0.500, 0.000, 0.000)
S (0.500, 0.500, 0.500)
Cl (0.250, 0.250, 0.250)
Cl (0.250, 0.250, 0.750)
Cl (0.250, 0.750, 0.250)
Cl (0.250, 0.750, 0.750)
Cl (0.750, 0.250, 0.250)
Cl (0.750, 0.250, 0.750)
Cl (0.750, 0.750, 0.250)
Cl (0.750, 0.750, 0.750)